{"formula": "Te2Mo3", "functional": "GGA-PBE", "state": "relaxed", "energy_ry_per_atom": -0.5160, "crystal_system": "trigonal", "dos_ef_per_ev_atom": 1.53, "de_polymorph_ev_per_atom": 0.366, "lattice": [[1.174, 1.552, -3.908], [-3.540, 1.584, 2.004], [3.446, 4.254, 2.724]], "species": ["Te", "Mo", "Te", "Mo", "Mo"], "frac_coords": [[0.333, 0.667, 0.795], [0.333, 0.667, 0.359], [0.667, 0.333, 0.205], [0.000, 0.000, 0.000], [0.667, 0.333, 0.641]]}